This record from Alexandria describes an optimized crystal structure of K3Eu. The functional is GGA-PBE.

a b c (Å): 7.2030 7.2030 7.2030
angles (deg): 60.00 60.00 60.00
Positions (direct):
K: 0.0000 0.0000 0.0000
K: 0.2500 0.2500 0.2500
K: 0.7500 0.7500 0.7500
Eu: 0.5000 0.5000 0.5000

## Properties
Energy of formation from the pure elements = 17.4 kJ per mole of atoms
Symmetry = No. 225
Excess energy over the best structure of this formula in the dataset = 3.2 kJ/mol of atoms

***

This record from Alexandria describes an optimized crystal structure of ZnClO. The functional is GGA-PBE.

a b c (Å): 3.8193 3.8193 9.4417
angles (deg): 107.86 107.86 53.70
Positions (direct):
Zn: 0.1178 0.1178 0.3457
Zn: 0.8822 0.8822 0.6543
Cl: 0.2569 0.2569 0.7953
Cl: 0.7431 0.7431 0.2047
O: 0.4099 0.4099 0.5266
O: 0.5901 0.5901 0.4734

## Properties
ΔE_f (raw) = -0.90 eV/atom
Symmetry = No. 12
Excess energy over the best structure of this formula in the dataset = 0.0 kJ/mol of atoms

***

This record from Alexandria describes an optimized crystal structure of U2BeGa8. The functional is GGA-PBE.

a b c (Å): 4.2855 4.2855 10.9618
angles (deg): 90.00 90.00 90.00
Positions (direct):
U: 0.0000 0.0000 0.1937
U: 0.0000 0.0000 0.8063
Be: 0.0000 0.0000 0.5000
Ga: 0.0000 0.5000 0.0000
Ga: 0.0000 0.5000 0.3802
Ga: 0.0000 0.5000 0.6198
Ga: 0.5000 0.0000 0.0000
Ga: 0.5000 0.0000 0.3802
Ga: 0.5000 0.0000 0.6198
Ga: 0.5000 0.5000 0.1932
Ga: 0.5000 0.5000 0.8068

## Properties
Energy of formation from the pure elements = -14.8 kJ per mole of atoms
Symmetry = No. 123

***

This record from Alexandria describes an optimized crystal structure of Pr6ErIn3. The functional is GGA-PBE.

a b c (Å): 10.3838 10.3838 6.8135
angles (deg): 90.00 90.00 112.89
Positions (direct):
Pr: 0.0293 0.9707 0.5000
Pr: 0.0457 0.4090 0.7959
Pr: 0.3227 0.3437 0.5430
Pr: 0.3350 0.6650 0.3245
Pr: 0.3437 0.3227 0.0430
Pr: 0.4090 0.0457 0.2959
Pr: 0.5910 0.9543 0.7959
Pr: 0.6563 0.6773 0.5430
Pr: 0.6650 0.3350 0.8245
Pr: 0.6773 0.6563 0.0430
Pr: 0.9543 0.5910 0.2959
Pr: 0.9707 0.0293 0.0000
Er: 0.2039 0.7961 0.9390
Er: 0.7961 0.2039 0.4390
In: 0.0770 0.3389 0.2631
In: 0.3389 0.0770 0.7631
In: 0.3784 0.6216 0.8149
In: 0.6216 0.3784 0.3149
In: 0.6611 0.9230 0.2631
In: 0.9230 0.6611 0.7631

## Properties
Energy of formation from the pure elements = -17.3 kJ per mole of atoms
Symmetry = No. 36

***

This record from Alexandria describes an optimized crystal structure of TmHfC. The functional is GGA-PBE.

a b c (Å): 3.3940 3.3940 5.6679
angles (deg): 90.00 90.00 120.00
Positions (direct):
Tm: 0.0000 0.0000 0.0000
Hf: 0.6667 0.3333 0.5419
C: 0.3333 0.6667 0.7361

## Properties
Energy of formation from the pure elements = -41.8 kJ per mole of atoms
Symmetry = No. 156

***

This record from Alexandria describes an optimized crystal structure of Dy4Ga3Au. The functional is GGA-PBE.

a b c (Å): 4.0206 4.2981 11.1226
angles (deg): 90.00 90.00 90.00
Positions (direct):
Dy: 0.0000 0.0000 0.0000
Dy: 0.0000 0.5000 0.2794
Dy: 0.5000 0.0000 0.4947
Dy: 0.5000 0.5000 0.7836
Ga: 0.0000 0.0000 0.7141
Ga: 0.0000 0.5000 0.5644
Ga: 0.5000 0.5000 0.0549
Au: 0.5000 0.0000 0.2203

## Properties
Energy of formation from the pure elements = -64.1 kJ per mole of atoms
Symmetry = No. 25